CsTcTeI2, optimized geometry, DFT PBE-GGA; size of the total moment = 6.04 μB/cell; E = -2.26 eV/atom; calculated density = 3.51 g cm⁻³; formation energy from raw total energies = 1.23 eV/atom; D(E_F) = 9.0 states/eV/f.u.
1.0
-4.978 4.067 -2.257
1.593 -1.616 -6.424
-4.005 -4.785 0.211
I Cs Te Tc
2 1 1 1
direct
0.000 0.500 0.000
0.500 0.000 0.000
0.000 0.000 0.000
0.000 0.000 0.500
0.500 0.500 0.500